No. 1
TbNd4Ho2Tm: optimized geometry, GGA-PBE.

Unit cell a=5.115 b=5.141 c=10.040 alpha=90.00 beta=90.00 gamma=90.00
Space group Pmmm (No. 47)
Symmetry-distinct sites (fractional):
Tb  0.000  0.000  0.000 (multiplicity 1)
Nd  0.000  0.500  0.251 (multiplicity 2)
Nd  0.500  0.000  0.251 (multiplicity 2)
Ho  0.000  0.000  0.500 (multiplicity 1)
Ho  0.500  0.500  0.000 (multiplicity 1)
Tm  0.500  0.500  0.500 (multiplicity 1)

- DFT formation energy (meV/atom) = 17
- raw total energy (eV/atom) = -4.649

***

No. 2
Tb2Nd3Ho6Tm: optimized geometry, GGA-PBE.

Unit cell a=6.183 b=10.703 c=11.786 alpha=90.00 beta=100.03 gamma=90.00
Space group C2/m (No. 12)
Symmetry-distinct sites (fractional):
Tb  0.000  0.167  0.000 (multiplicity 4)
Nd  0.000  0.000  0.500 (multiplicity 2)
Nd  0.000  0.333  0.500 (multiplicity 4)
Ho  0.249  0.000  0.246 (multiplicity 4)
Ho  0.249  0.334  0.246 (multiplicity 8)
Tm  0.000  0.500  0.000 (multiplicity 2)

- DFT formation energy (meV/atom) = 19
- raw total energy (eV/atom) = -4.607

***

No. 3
Tb2NdHo3Tm6: optimized geometry, GGA-PBE.

Unit cell a=6.110 b=10.570 c=11.649 alpha=90.00 beta=100.03 gamma=90.00
Space group C2/m (No. 12)
Symmetry-distinct sites (fractional):
Tb  0.000  0.167  0.000 (multiplicity 4)
Nd  0.000  0.500  0.000 (multiplicity 2)
Ho  0.000  0.000  0.500 (multiplicity 2)
Ho  0.000  0.333  0.500 (multiplicity 4)
Tm  0.248  0.167  0.748 (multiplicity 8)
Tm  0.249  0.500  0.748 (multiplicity 4)

- DFT formation energy (meV/atom) = 22
- raw total energy (eV/atom) = -4.527

***

No. 4
Tb2NdHoTm4: optimized geometry, GGA-PBE.

Unit cell a=6.757 b=11.689 c=13.222 alpha=90.00 beta=90.00 gamma=90.00
Space group Imma (No. 74)
Symmetry-distinct sites (fractional):
Tb  0.000  0.000  0.000 (multiplicity 4)
Tb  0.250  0.250  0.250 (multiplicity 4)
Nd  0.000  0.000  0.500 (multiplicity 4)
Ho  0.250  0.250  0.750 (multiplicity 4)
Tm  0.000  0.001  0.751 (multiplicity 8)
Tm  0.249  0.250  0.999 (multiplicity 8)

- DFT formation energy (meV/atom) = 442
- raw total energy (eV/atom) = -4.119